Run a
LaPSe3 | PBE | optimized geometry

Summary:
As for the space group: No. 14.

abc: 6.1061 9.0082 9.6103
angles: 90.00 91.22 90.00
With the nearest neighbours (Å) after each atom.
Sites, in units of the cell vectors:
Se  0.8668  0.3482  0.4295  1 P 2.37
Se  0.6449  0.8312  0.4486  1 P 2.27
Se  0.3668  0.1518  0.9295  1 P 2.37
Se  0.4094  0.5114  0.2672  1 P 2.27
Se  0.8551  0.3312  0.0514  1 P 2.27
Se  0.5906  0.4886  0.7328  1 P 2.27
Se  0.9094  0.9886  0.7672  1 P 2.27
Se  0.6332  0.8482  0.0705  1 P 2.37
Se  0.3551  0.1688  0.5514  1 P 2.27
Se  0.1449  0.6688  0.9486  1 P 2.27
Se  0.1332  0.6518  0.5705  1 P 2.37
Se  0.0906  0.0114  0.2328  1 P 2.27
P  0.4700  0.6100  0.0539  1 P 2.27, 3 Se 2.27-2.37
P  0.5300  0.3900  0.9461  1 P 2.27, 3 Se 2.27-2.37
P  0.0300  0.1100  0.4461  1 P 2.27, 3 Se 2.27-2.37
P  0.9700  0.8900  0.5539  1 P 2.27, 3 Se 2.27-2.37
La  0.4288  0.8688  0.7516  8 Se 3.10-3.36, 1 P 3.36
La  0.0712  0.3688  0.7484  8 Se 3.10-3.36, 1 P 3.36
La  0.9288  0.6312  0.2516  8 Se 3.10-3.36, 1 P 3.36
La  0.5712  0.1312  0.2484  8 Se 3.10-3.36, 1 P 3.36


Run b
LaPSe3 | PBE | optimized geometry

Summary:
As for the space group: No. 221.

abc: 4.9160 4.9160 4.9160
angles: 90.00 90.00 90.00
With the nearest neighbours (Å) after each atom.
Sites, in units of the cell vectors:
P  0.0000  0.0000  0.0000  6 Se 2.46
Se  0.0000  0.0000  0.5000  2 P 2.46
Se  0.0000  0.5000  0.0000  2 P 2.46
Se  0.5000  0.0000  0.0000  2 P 2.46
La  0.5000  0.5000  0.5000  12 Se 3.48


run a (0.190 eV/atom below the next structure)